Entry 1:
DFT (PBE) results for a geometry-optimized CeS6F2 structure.

## Properties
VASP energy   -4.98 eV per atom
Formation energy without anion corrections   -1154.7 meV/atom
Mass density   2.90 Mg/m³
D(E_F)   7.1 states/eV/f.u.

a b c (Å): 3.795 6.567 8.884
angles (deg): 79.09 77.94 89.98
Atoms (fractional coordinates):
Ce (0.000, 0.000, 0.000)
S (0.094, 0.548, 0.804)
S (0.154, 0.322, 0.684)
S (0.154, 0.837, 0.685)
S (0.846, 0.163, 0.315)
S (0.846, 0.678, 0.316)
S (0.906, 0.452, 0.196)
F (0.500, 0.196, 0.000)
F (0.500, 0.804, 0.000)

=====

Entry 2:
DFT (PBE) results for a geometry-optimized SrCe2S2F4 structure.

## Properties
VASP energy   -6.51 eV per atom
Formation energy without anion corrections   -3253.9 meV/atom
Mass density   5.29 Mg/m³
D(E_F)   12.9 states/eV/f.u.

a b c (Å): 10.342 10.342 10.342
angles (deg): 157.67 157.67 31.78
Atoms (fractional coordinates):
Sr (0.000, 0.000, 0.000)
Ce (0.342, 0.342, 0.000)
Ce (0.658, 0.658, 0.000)
S (0.198, 0.198, 0.000)
S (0.802, 0.802, 0.000)
F (0.075, 0.575, 0.500)
F (0.425, 0.925, 0.500)
F (0.575, 0.075, 0.500)
F (0.925, 0.425, 0.500)

=====

Entry 3:
DFT (PBE) results for a geometry-optimized Ce5Sb5F2 structure.

## Properties
VASP energy   -5.97 eV per atom
Formation energy without anion corrections   -1465.2 meV/atom
Mass density   6.90 Mg/m³
D(E_F)   30.0 states/eV/f.u.

a b c (Å): 7.519 7.519 10.783
angles (deg): 100.50 100.50 32.80
Atoms (fractional coordinates):
Ce (0.000, 0.000, 0.000)
Ce (0.092, 0.092, 0.346)
Ce (0.335, 0.335, 0.202)
Ce (0.665, 0.665, 0.798)
Ce (0.908, 0.908, 0.654)
Sb (0.244, 0.244, 0.618)
Sb (0.344, 0.344, 0.895)
Sb (0.500, 0.500, 0.500)
Sb (0.656, 0.656, 0.105)
Sb (0.756, 0.756, 0.382)
F (0.063, 0.063, 0.806)
F (0.937, 0.937, 0.194)

=====

Entry 4:
DFT (PBE) results for a geometry-optimized Ce2SbF11 structure.

## Properties
VASP energy   -5.91 eV per atom
Formation energy without anion corrections   -3300.4 meV/atom
Mass density   4.23 Mg/m³

a b c (Å): 8.654 8.654 8.654
angles (deg): 122.06 105.88 101.28
Atoms (fractional coordinates):
Ce (0.182, 0.147, 0.329)
Ce (0.318, 0.647, 0.965)
Ce (0.682, 0.353, 0.035)
Ce (0.818, 0.853, 0.671)
Sb (0.250, 0.750, 0.500)
Sb (0.750, 0.250, 0.500)
F (0.000, 0.000, 0.000)
F (0.031, 0.450, 0.767)
F (0.066, 0.855, 0.645)
F (0.183, 0.950, 0.420)
F (0.210, 0.421, 0.355)
F (0.215, 0.874, 0.088)
F (0.285, 0.374, 0.659)
F (0.290, 0.645, 0.211)
F (0.317, 0.737, 0.767)
F (0.434, 0.079, 0.789)
F (0.469, 0.237, 0.420)
F (0.500, 0.500, 0.000)
F (0.531, 0.763, 0.580)
F (0.566, 0.921, 0.211)
F (0.683, 0.263, 0.233)
F (0.710, 0.355, 0.789)
F (0.715, 0.626, 0.341)
F (0.785, 0.126, 0.912)
F (0.790, 0.579, 0.645)
F (0.817, 0.050, 0.580)
F (0.934, 0.145, 0.355)
F (0.969, 0.550, 0.233)

=====

Entry 5:
DFT (PBE) results for a geometry-optimized Ce2SbF structure.

## Properties
VASP energy   -6.06 eV per atom
Formation energy without anion corrections   -1593.3 meV/atom
Mass density   7.19 Mg/m³
Polymorph energy (0 for the lowest one)   96 meV per atom
D(E_F)   11.2 states/eV/f.u.

a b c (Å): 7.039 7.039 7.039
angles (deg): 33.99 33.99 33.99
Atoms (fractional coordinates):
Ce (0.233, 0.233, 0.233)
Ce (0.767, 0.767, 0.767)
Sb (0.000, 0.000, 0.000)
F (0.500, 0.500, 0.500)

=====

Entry 6:
DFT (PBE) results for a geometry-optimized Ce3SbF3 structure.

## Properties
VASP energy   -6.30 eV per atom
Formation energy without anion corrections   -2364.7 meV/atom
Mass density   6.13 Mg/m³
D(E_F)   20.7 states/eV/f.u.

a b c (Å): 8.355 8.355 8.355
angles (deg): 50.95 50.95 50.95
Atoms (fractional coordinates):
Ce (0.082, 0.428, 0.715)
Ce (0.285, 0.918, 0.572)
Ce (0.428, 0.715, 0.082)
Ce (0.572, 0.285, 0.918)
Ce (0.715, 0.082, 0.428)
Ce (0.918, 0.572, 0.285)
Sb (0.163, 0.163, 0.163)
Sb (0.837, 0.837, 0.837)
F (0.036, 0.732, 0.347)
F (0.268, 0.653, 0.964)
F (0.347, 0.036, 0.732)
F (0.653, 0.964, 0.268)
F (0.732, 0.347, 0.036)
F (0.964, 0.268, 0.653)

=====

Entry 7:
DFT (PBE) results for a geometry-optimized CeSb2F8 structure.

## Properties
VASP energy   -5.33 eV per atom
Formation energy without anion corrections   -2684.2 meV/atom
Mass density   4.11 Mg/m³
D(E_F)   6.9 states/eV/f.u.

a b c (Å): 4.838 6.950 7.190
angles (deg): 63.99 84.78 85.47
Atoms (fractional coordinates):
Ce (0.000, 0.000, 0.000)
Sb (0.357, 0.623, 0.612)
Sb (0.643, 0.377, 0.388)
F (0.243, 0.852, 0.289)
F (0.250, 0.307, 0.852)
F (0.252, 0.338, 0.345)
F (0.272, 0.849, 0.851)
F (0.728, 0.151, 0.149)
F (0.748, 0.662, 0.655)
F (0.750, 0.693, 0.148)
F (0.757, 0.148, 0.711)

=====

Entry 8:
DFT (PBE) results for a geometry-optimized Ce2SbF structure.

## Properties
VASP energy   -6.15 eV per atom
Formation energy without anion corrections   -1689.4 meV/atom
Mass density   6.82 Mg/m³
Polymorph energy (0 for the lowest one)   0 meV per atom
D(E_F)   12.4 states/eV/f.u.

a b c (Å): 8.075 6.406 8.077
angles (deg): 90.00 101.23 90.00
Atoms (fractional coordinates):
Ce (0.047, 0.135, 0.335)
Ce (0.047, 0.365, 0.835)
Ce (0.349, 0.667, 0.520)
Ce (0.349, 0.833, 0.020)
Ce (0.651, 0.167, 0.980)
Ce (0.651, 0.333, 0.480)
Ce (0.953, 0.635, 0.165)
Ce (0.953, 0.865, 0.665)
Sb (0.329, 0.142, 0.667)
Sb (0.329, 0.358, 0.167)
Sb (0.671, 0.642, 0.833)
Sb (0.671, 0.858, 0.333)
F (0.212, 0.656, 0.759)
F (0.212, 0.844, 0.259)
F (0.788, 0.156, 0.741)
F (0.788, 0.344, 0.241)